[1]
4
Lattice="5.170 0.064 0.000 -0.067 5.170 0.000 0.000 0.000 3.370" Properties=species:S:1:pos:R:3 comment="SrZrCr2 | the Alexandria database | PBE-GGA | optimized geometry" dft_energy_ev_per_cell=-26.380 relative_energy_mev_per_atom=279 formation_energy_ev_per_atom=0.774 pbc="T T T"
Cr 0.000 0.000 0.000
Cr 2.552 2.617 0.000
Sr 2.585 0.032 1.685
Zr -0.033 2.585 1.685

---

[2]
4
Lattice="6.795 -0.003 -0.002 3.185 6.002 0.002 -4.196 -4.320 3.146" Properties=species:S:1:pos:R:3 comment="Sr2ZrCr | the Alexandria database | PBE-GGA | optimized geometry" dft_energy_ev_per_cell=-19.167 relative_energy_mev_per_atom=138 formation_energy_ev_per_atom=0.592 pbc="T T T"
Cr 2.272 2.510 1.574
Sr 0.358 0.215 0.000
Sr 3.707 -0.714 1.572
Zr 4.437 2.667 0.000

---

[3]
4
Lattice="4.964 0.000 0.000 0.000 4.963 0.000 0.000 0.000 5.096" Properties=species:S:1:pos:R:3 comment="Sr2ZrCr | the Alexandria database | PBE-GGA | optimized geometry" dft_energy_ev_per_cell=-18.208 relative_energy_mev_per_atom=377 formation_energy_ev_per_atom=0.832 pbc="T T T"
Cr 0.000 2.482 2.548
Sr 0.000 0.000 0.000
Sr 2.482 2.482 0.000
Zr 2.482 0.000 2.548

---

[4]
4
Lattice="4.791 -0.018 0.327 3.330 3.444 0.327 1.589 0.670 8.979" Properties=species:S:1:pos:R:3 comment="Sr2ZrCr | the Alexandria database | PBE-GGA | optimized geometry" dft_energy_ev_per_cell=-19.127 relative_energy_mev_per_atom=148 formation_energy_ev_per_atom=0.602 pbc="T T T"
Cr 6.991 2.949 6.097
Sr 2.066 0.871 8.287
Sr 2.426 1.023 3.140
Zr 4.671 1.970 5.906

---

[5]
4
Lattice="3.547 0.000 0.000 0.000 3.547 0.000 0.000 0.000 10.187" Properties=species:S:1:pos:R:3 comment="Sr2ZrCr | the Alexandria database | PBE-GGA | optimized geometry" dft_energy_ev_per_cell=-18.434 relative_energy_mev_per_atom=321 formation_energy_ev_per_atom=0.775 pbc="T T T"
Cr 1.774 1.774 7.641
Sr 0.000 0.000 10.065
Sr 0.000 0.000 5.216
Zr 1.774 1.774 2.547

---

[6]
4
Lattice="3.704 0.000 0.000 0.000 3.704 0.000 0.000 0.000 9.472" Properties=species:S:1:pos:R:3 comment="Sr2ZrCr | the Alexandria database | PBE-GGA | optimized geometry" dft_energy_ev_per_cell=-19.718 relative_energy_mev_per_atom=0 formation_energy_ev_per_atom=0.454 pbc="T T T"
Cr 1.852 1.852 6.547
Sr 0.000 0.000 8.845
Sr 1.852 1.852 2.860
Zr 0.000 0.000 5.427

---

[7]
4
Lattice="6.722 -0.014 0.001 3.465 5.760 -0.001 -4.550 -3.836 3.125" Properties=species:S:1:pos:R:3 comment="Sr2ZrCr | the Alexandria database | PBE-GGA | optimized geometry" dft_energy_ev_per_cell=-18.394 relative_energy_mev_per_atom=331 formation_energy_ev_per_atom=0.785 pbc="T T T"
Cr 2.004 2.399 1.562
Sr 0.372 0.210 0.000
Sr 4.722 2.663 0.000
Zr 3.633 -0.489 1.563

---

[8]
4
Lattice="-3.005 -3.179 10.251 -5.532 -5.058 8.247 -2.135 -6.504 8.795" Properties=species:S:1:pos:R:3 comment="Sr2ZrCr | the Alexandria database | PBE-GGA | optimized geometry" dft_energy_ev_per_cell=-18.833 relative_energy_mev_per_atom=221 formation_energy_ev_per_atom=0.676 pbc="T T T"
Cr -8.124 -11.222 20.777
Sr -0.196 -0.270 0.500
Sr -2.556 -3.530 6.537
Zr -5.132 -7.090 13.126

---

[9]
4
Lattice="-1.779 -4.139 -2.803 -2.324 -4.758 0.342 -5.689 0.901 -0.807" Properties=species:S:1:pos:R:3 comment="SrZrCr2 | the Alexandria database | PBE-GGA | optimized geometry" dft_energy_ev_per_cell=-26.688 relative_energy_mev_per_atom=202 formation_energy_ev_per_atom=0.697 pbc="T T T"
Cr -5.768 0.631 -0.874
Cr -7.645 -5.433 -2.392
Sr -4.965 -3.825 -1.612
Zr -1.999 -2.464 -0.831

---

[10]
4
Lattice="6.646 -0.007 -0.013 4.202 5.149 0.013 -5.039 -3.381 2.708" Properties=species:S:1:pos:R:3 comment="SrZrCr2 | the Alexandria database | PBE-GGA | optimized geometry" dft_energy_ev_per_cell=-26.972 relative_energy_mev_per_atom=132 formation_energy_ev_per_atom=0.626 pbc="T T T"
Cr 9.839 4.663 0.000
Cr 3.904 -0.224 1.348
Sr 5.836 2.766 0.000
Zr 2.500 2.267 1.361

---

[11]
4
Lattice="9.704 -0.044 -0.026 9.167 3.181 -0.026 9.167 1.524 2.792" Properties=species:S:1:pos:R:3 comment="SrZrCr2 | the Alexandria database | PBE-GGA | optimized geometry" dft_energy_ev_per_cell=-26.194 relative_energy_mev_per_atom=326 formation_energy_ev_per_atom=0.821 pbc="T T T"
Cr 27.782 4.618 2.716
Cr 7.589 1.262 0.742
Sr 14.224 2.364 1.390
Zr 20.501 3.408 2.004

---

[12]
4
Lattice="0.000 3.547 3.547 3.547 0.000 3.547 3.547 3.547 0.000" Properties=species:S:1:pos:R:3 comment="SrZrCr2 | the Alexandria database | PBE-GGA | optimized geometry" dft_energy_ev_per_cell=-26.243 relative_energy_mev_per_atom=314 formation_energy_ev_per_atom=0.808 pbc="T T T"
Sr 0.000 0.000 0.000
Zr 3.547 3.547 3.547
Cr 1.773 1.773 1.773
Cr 5.320 5.320 5.320

---

[13]
4
Lattice="-0.627 0.068 3.086 2.801 -1.310 0.598 6.427 6.696 1.160" Properties=species:S:1:pos:R:3 comment="SrZrCr2 | the Alexandria database | PBE-GGA | optimized geometry" dft_energy_ev_per_cell=-27.498 relative_energy_mev_per_atom=0 formation_energy_ev_per_atom=0.495 pbc="T T T"
Cr 2.931 -1.026 0.618
Cr 1.709 0.750 1.938
Sr 4.482 2.407 0.858
Zr 6.894 4.706 2.905

---

[14]
12
Lattice="-3.776 -3.276 0.976 2.020 -3.070 -2.491 3.671 -2.445 5.990" Properties=species:S:1:pos:R:3 comment="TaCr2 | the Alexandria database | PBE-GGA | optimized geometry" dft_energy_ev_per_cell=-122.624 relative_energy_mev_per_atom=277 formation_energy_ev_per_atom=0.148 pbc="T T T"
Cr 1.368 -1.486 0.963
Cr 2.513 -5.719 3.152
Cr -0.598 -3.072 1.323
Cr 0.547 -7.306 3.512
Cr 1.943 -2.666 2.883
Cr 0.456 -3.552 -1.187
Cr 1.459 -5.239 5.662
Cr -0.028 -6.126 1.593
Ta 0.171 -4.396 3.579
Ta -1.296 -5.266 -0.496
Ta 3.211 -3.526 4.971
Ta 1.744 -4.395 0.897

---

[15]
3
Lattice="3.691 0.000 -2.130 -1.230 3.480 -2.130 0.000 -0.001 4.261" Properties=species:S:1:pos:R:3 comment="Ta2Cr | the Alexandria database | PBE-GGA | optimized geometry" dft_energy_ev_per_cell=-31.702 formation_energy_ev_per_atom=0.542 pbc="T T T"
Ta 2.460 0.870 0.000
Ta 0.000 2.610 0.000
Cr 0.000 0.000 0.000

---

[16]
8
Lattice="4.433 0.000 0.000 0.000 5.056 0.000 0.000 0.000 5.439" Properties=species:S:1:pos:R:3 comment="TaCr | the Alexandria database | PBE-GGA | optimized geometry" dft_energy_ev_per_cell=-83.773 formation_energy_ev_per_atom=0.266 pbc="T T T"
Ta 1.108 3.168 0.732
Ta 3.325 0.640 1.987
Ta 1.108 4.415 3.452
Ta 3.325 1.888 4.707
Cr 1.108 0.647 0.520
Cr 3.325 3.175 2.199
Cr 1.108 1.880 3.240
Cr 3.325 4.408 4.919

---

[17]
5
Lattice="-1.939 1.939 6.660 1.939 -1.939 6.660 1.939 1.939 -6.660" Properties=species:S:1:pos:R:3 comment="Ta4Cr | the Alexandria database | PBE-GGA | optimized geometry" dft_energy_ev_per_cell=-51.984 relative_energy_mev_per_atom=994 formation_energy_ev_per_atom=1.010 pbc="T T T"
Ta 1.939 0.000 3.330
Ta 0.000 0.000 7.944
Ta 0.000 0.000 5.375
Ta 0.000 1.939 3.330
Cr 0.000 0.000 0.000

---

[18]
6
Lattice="2.612 0.000 0.000 0.000 4.351 0.000 0.000 0.000 7.423" Properties=species:S:1:pos:R:3 comment="TaCr2 | the Alexandria database | PBE-GGA | optimized geometry" dft_energy_ev_per_cell=-60.486 relative_energy_mev_per_atom=415 formation_energy_ev_per_atom=0.286 pbc="T T T"
Ta 0.000 0.000 0.000
Ta 1.306 2.175 3.711
Cr 0.494 0.000 2.504
Cr 2.118 0.000 4.919
Cr 1.800 2.175 1.208
Cr 0.812 2.175 6.215

---

[19]
4
Lattice="-0.642 0.773 2.790 -1.692 -3.962 0.709 5.147 0.408 1.071" Properties=species:S:1:pos:R:3 comment="TaCr | the Alexandria database | PBE-GGA | optimized geometry" dft_energy_ev_per_cell=-41.944 formation_energy_ev_per_atom=0.252 pbc="T T T"
Cr 2.544 -3.088 2.229
Cr 0.269 0.307 2.341
Ta 0.183 -2.224 1.446
Ta 2.630 -0.557 3.124

---

[20]
4
Lattice="-0.537 1.720 2.488 -3.018 -0.136 -0.558 -0.418 -5.250 3.540" Properties=species:S:1:pos:R:3 comment="TaCr | the Alexandria database | PBE-GGA | optimized geometry" dft_energy_ev_per_cell=-42.728 formation_energy_ev_per_atom=0.056 pbc="T T T"
Cr -1.882 -4.751 2.878
Cr -0.314 0.292 1.627
Ta -1.657 -1.932 0.978
Ta -0.538 -2.527 3.528